Entry 1:
Compound: SrLi3Al
Source: Alexandria
Functional: GGA-PBEsol
Structure: optimized geometry

The value obtained for the density of states at the Fermi level is 2.7 states/eV/f.u. The volume is 129.7 Å³ per cell. Its formation energy is 0.064 eV per atom. The value obtained for the uncorrected energy is -2.303 eV/atom. As for the magnetic moment: 0.00 μB per formula unit.

a b c (Å): 5.061 5.061 5.061
angles (deg): 90.00 90.00 90.00
Fractional coordinates of all 5 atoms:
Sr: 0.000 0.000 0.000
Li: 0.000 0.500 0.500
Li: 0.500 0.000 0.500
Li: 0.500 0.500 0.000
Al: 0.500 0.500 0.500

---

Entry 2:
Compound: La2InTc
Source: Alexandria
Functional: GGA-PBEsol
Structure: optimized geometry

The value obtained for the density of states at the Fermi level is 3.1 states/eV/f.u. The volume is 292.4 Å³ per cell. Its formation energy is 0.236 eV per atom. The value obtained for the uncorrected energy is -6.000 eV/atom. As for the magnetic moment: 0.00 μB per formula unit.

a b c (Å): 3.445 3.445 28.439
angles (deg): 90.00 90.00 120.00
Fractional coordinates of all 12 atoms:
La: 0.000 0.000 0.000
La: 0.000 0.000 0.232
La: 0.333 0.667 0.667
La: 0.333 0.667 0.899
La: 0.667 0.333 0.333
La: 0.667 0.333 0.565
In: 0.000 0.000 0.470
In: 0.333 0.667 0.137
In: 0.667 0.333 0.803
Tc: 0.000 0.000 0.736
Tc: 0.333 0.667 0.402
Tc: 0.667 0.333 0.069

---

Entry 3:
Compound: K2YCr
Source: Alexandria
Functional: GGA-PBEsol
Structure: optimized geometry

The value obtained for the density of states at the Fermi level is 3.4 states/eV/f.u. The volume is 136.4 Å³ per cell. Its formation energy is 0.956 eV per atom. The value obtained for the uncorrected energy is -3.877 eV/atom. As for the magnetic moment: 4.52 μB per formula unit.

a b c (Å): 4.593 4.593 6.466
angles (deg): 90.00 90.00 90.00
Fractional coordinates of all 4 atoms:
K: 0.000 0.500 0.000
K: 0.500 0.000 0.000
Y: 0.000 0.000 0.500
Cr: 0.500 0.500 0.500

---

Entry 4:
Compound: GaFeRh3
Source: Alexandria
Functional: GGA-PBEsol
Structure: optimized geometry

The value obtained for the density of states at the Fermi level is 5.7 states/eV/f.u. The volume is 82.3 Å³ per cell. Its formation energy is 0.969 eV per atom. The value obtained for the uncorrected energy is -6.375 eV/atom. As for the magnetic moment: 0.00 μB per formula unit.

a b c (Å): 4.350 4.350 4.350
angles (deg): 90.00 90.00 90.00
Fractional coordinates of all 5 atoms:
Ga: 0.000 0.000 0.000
Fe: 0.500 0.500 0.500
Rh: 0.000 0.500 0.500
Rh: 0.500 0.000 0.500
Rh: 0.500 0.500 0.000

---

Entry 5:
Compound: ScAuSe2
Source: Alexandria
Functional: GGA-PBEsol
Structure: optimized geometry

The value obtained for the density of states at the Fermi level is 1.8 states/eV/f.u. The volume is 75.3 Å³ per cell. The value obtained for the uncorrected energy is -5.207 eV/atom. As for the magnetic moment: 0.00 μB per formula unit. The value obtained for the energy relative to the elements, uncorrected is -0.650 eV/atom.

a b c (Å): 3.445 3.445 6.349
angles (deg): 90.00 90.00 90.00
Fractional coordinates of all 4 atoms:
Sc: 0.000 0.000 0.000
Au: 0.000 0.000 0.500
Se: 0.500 0.500 0.226
Se: 0.500 0.500 0.774

---

Entry 6:
Compound: BaMg4Si3
Source: Alexandria
Functional: GGA-PBEsol
Structure: optimized geometry

The value obtained for the density of states at the Fermi level is 2.0 states/eV/f.u. The volume is 179.8 Å³ per cell. The value obtained for the uncorrected energy is -3.582 eV/atom. As for the magnetic moment: 0.00 μB per formula unit. The value obtained for the energy relative to the elements, uncorrected is -0.300 eV/atom.

a b c (Å): 4.588 4.588 8.541
angles (deg): 90.00 90.00 90.00
Fractional coordinates of all 8 atoms:
Ba: 0.000 0.000 0.000
Mg: 0.000 0.500 0.317
Mg: 0.000 0.500 0.683
Mg: 0.500 0.000 0.317
Mg: 0.500 0.000 0.683
Si: 0.000 0.000 0.500
Si: 0.500 0.500 0.141
Si: 0.500 0.500 0.859

---

Which of these has the lowest volume? ScAuSe2